Run one
PmAlRu2: optimized geometry, PBE.

Computed properties:
Calculated volume: 69.6 Å³/cell
Spin magnetization: 0.0 μB per formula unit
Symmetry: P4/mmm

Cell: 3.266 3.266 6.521 Å, 90.00 90.00 90.00°
Element x y z (fractional)
1 Ru 0.000 0.000 0.290
2 Ru 0.000 0.000 0.710
3 Pm 0.500 0.500 0.000
4 Al 0.500 0.500 0.500


Run two
PmAlRu2: optimized geometry, PBE.

Computed properties:
Calculated volume: 68.8 Å³/cell
Spin magnetization: 0.0 μB per formula unit
Symmetry: Fm-3m

Cell: 4.599 4.599 4.599 Å, 60.00 60.00 60.00°
Element x y z (fractional)
1 Pm 0.500 0.500 0.500
2 Al 0.000 0.000 0.000
3 Ru 0.750 0.750 0.750
4 Ru 0.250 0.250 0.250


Run three
PmAlRu2: optimized geometry, PBE.

Computed properties:
Calculated volume: 69.4 Å³/cell
Spin magnetization: 0.0 μB per formula unit
Symmetry: P4/mmm

Cell: 3.373 4.538 4.538 Å, 90.00 90.00 90.00°
Element x y z (fractional)
1 Pm 0.500 0.000 0.000
2 Ru 0.000 0.000 0.500
3 Ru 0.000 0.500 0.000
4 Al 0.500 0.500 0.500


It is run three that is the least stable of them.


Run one
Pm2AlRu: optimized geometry, PBE.

Computed properties:
Calculated volume: 93.5 Å³/cell
Spin magnetization: 0.0 μB per formula unit
Symmetry: P4/mmm

Cell: 3.586 3.586 7.272 Å, 90.00 90.00 90.00°
Element x y z (fractional)
1 Al 0.500 0.500 0.500
2 Pm 0.000 0.000 0.768
3 Pm 0.000 0.000 0.232
4 Ru 0.500 0.500 0.000


Run two
Pm2AlRu: optimized geometry, PBE.

Computed properties:
Calculated volume: 107.9 Å³/cell
Spin magnetization: 0.0 μB per formula unit
Symmetry: Cm

Cell: 4.588 4.588 7.092 Å, 71.78 71.78 50.40°
Element x y z (fractional)
1 Ru 0.489 0.489 0.628
2 Pm 0.189 0.189 0.345
3 Pm 0.024 0.024 0.904
4 Al 0.798 0.798 0.623


It is run one that is the least stable of them.


Run one
Pm2Al3Ru: optimized geometry, PBE.

Computed properties:
Calculated volume: 120.8 Å³/cell
Spin magnetization: 0.0 μB per formula unit
Symmetry: R-3m

Cell: 5.595 5.595 5.503 Å, 89.98 120.57 120.01°
Element x y z (fractional)
1 Al 0.500 0.500 0.500
2 Al 0.500 0.000 0.500
3 Al 0.000 0.000 0.500
4 Pm 0.748 0.374 0.123
5 Pm 0.252 0.626 0.877
6 Ru 0.000 0.000 0.000


Run two
Pm2Al3Ru: optimized geometry, PBE.

Computed properties:
Calculated volume: 243.3 Å³/cell
Spin magnetization: 0.0 μB per formula unit
Symmetry: P6_3/mmc

Cell: 5.622 5.622 8.887 Å, 90.00 90.00 120.00°
Element x y z (fractional)
1 Al 0.680 0.840 0.250
2 Al 0.320 0.160 0.750
3 Al 0.840 0.680 0.750
4 Al 0.160 0.320 0.250
5 Al 0.160 0.840 0.250
6 Al 0.840 0.160 0.750
7 Pm 0.667 0.333 0.052
8 Pm 0.333 0.667 0.552
9 Pm 0.333 0.667 0.948
10 Pm 0.667 0.333 0.448
11 Ru 0.000 0.000 0.500
12 Ru 0.000 0.000 0.000


It is run one that is the least stable of them.


Run one
Pm2AlS: optimized geometry, PBE.

Computed properties:
Calculated volume: 105.7 Å³/cell
Spin magnetization: 0.0 μB per formula unit
Symmetry: R3m

Cell: 3.895 3.895 8.349 Å, 76.51 76.51 60.00°
Element x y z (fractional)
1 Pm 0.071 0.071 0.788
2 Pm 0.262 0.262 0.213
3 S 0.668 0.668 0.997
4 Al 0.499 0.499 0.502


Run two
Pm2AlS: optimized geometry, PBE.

Computed properties:
Calculated volume: 201.1 Å³/cell
Spin magnetization: 0.0 μB per formula unit
Symmetry: Cmcm

Cell: 4.258 4.028 11.897 Å, 99.75 90.00 90.00°
Element x y z (fractional)
1 Pm 0.250 0.074 0.149
2 Pm 0.750 0.926 0.851
3 Pm 0.250 0.312 0.624
4 Pm 0.750 0.688 0.376
5 Al 0.750 0.535 0.070
6 Al 0.250 0.465 0.930
7 S 0.750 0.807 0.614
8 S 0.250 0.193 0.386


It is run one that is the least stable of them.